(1)
# KTmBeS3

Crystalline KTmBeS3 at its relaxed geometry (PBE, Alexandria).

total energy = -5.18 eV/atom
energy relative to the elements, uncorrected = -1571 meV/atom

Structure (extended XYZ):
```
12
Lattice="-1.3642 -1.4358 3.2639 8.1193 -2.7810 2.1701 -1.1611 8.3939 3.2072" Properties=species:S:1:pos:R:3 pbc="T T T"
K 1.0243 1.0240 1.9950
K 4.5697 3.1531 6.6462
Tm 4.9000 -0.9667 2.7391
Tm 0.6940 5.1438 5.9021
Be -0.4228 4.4891 2.9145
Be 6.0168 -0.3120 5.7268
S 5.9713 -2.1966 4.8787
S -0.3773 6.3738 3.7626
S 5.8554 1.2724 4.1235
S -0.2614 2.9047 4.5178
S 2.5216 -0.9939 3.9660
S 3.0724 5.1710 4.6753
```

(2)
# PrNd12Er5

Crystalline PrNd12Er5 at its relaxed geometry (PBE, Alexandria).

total energy = -4.69 eV/atom
ΔE_f = 0.021 eV per atom

Structure (extended XYZ):
```
18
Lattice="-5.9131 -0.6860 14.1908 -0.4667 -7.6191 7.7745 4.4534 1.7047 1.9374" Properties=species:S:1:pos:R:3 pbc="T T T"
Pr 0.0000 0.0000 0.0001
Nd -2.6995 0.2795 12.7923
Nd 0.7730 -6.8801 11.1106
Nd -4.3923 -8.0742 17.1955
Nd 2.4658 1.4737 6.7075
Nd -2.2808 -5.2931 9.8971
Nd 4.1317 -3.3640 7.1351
Nd -6.0581 -3.2365 16.7678
Nd 0.3543 -1.3074 14.0058
Nd -0.8738 -2.0231 10.6224
Nd -2.9965 -4.8014 17.9441
Nd 1.0701 -1.7991 5.9589
Nd -1.0526 -4.5774 13.2805
Er -0.7299 0.5093 8.0642
Er 0.9223 -4.3203 8.5160
Er -2.8488 -2.2802 15.3869
Er -4.2530 -5.5370 14.6433
Er 2.3265 -1.0636 9.2596
```

(3)
# NaNd2Sc

Crystalline NaNd2Sc at its relaxed geometry (PBE, Alexandria).

total energy = -4.15 eV/atom
ΔE_f = 0.148 eV per atom
E above lowest polymorph = 12 meV per atom

Structure (extended XYZ):
```
4
Lattice="3.4970 0.0000 0.0000 1.7485 3.0285 0.0000 1.7485 1.0095 12.5790" Properties=species:S:1:pos:R:3 pbc="T T T"
Sc 3.4970 2.0190 6.2895
Na 0.0000 0.0000 0.0000
Nd 1.7485 1.0095 9.0131
Nd 5.2455 3.0285 3.5659
```

Copy entry 1 word for word.
# KTmBeS3

Crystalline KTmBeS3 at its relaxed geometry (PBE, Alexandria).

total energy = -5.18 eV/atom
energy relative to the elements, uncorrected = -1571 meV/atom

Structure (extended XYZ):
```
12
Lattice="-1.3642 -1.4358 3.2639 8.1193 -2.7810 2.1701 -1.1611 8.3939 3.2072" Properties=species:S:1:pos:R:3 pbc="T T T"
K 1.0243 1.0240 1.9950
K 4.5697 3.1531 6.6462
Tm 4.9000 -0.9667 2.7391
Tm 0.6940 5.1438 5.9021
Be -0.4228 4.4891 2.9145
Be 6.0168 -0.3120 5.7268
S 5.9713 -2.1966 4.8787
S -0.3773 6.3738 3.7626
S 5.8554 1.2724 4.1235
S -0.2614 2.9047 4.5178
S 2.5216 -0.9939 3.9660
S 3.0724 5.1710 4.6753
```

What did the second record say?
# PrNd12Er5

Crystalline PrNd12Er5 at its relaxed geometry (PBE, Alexandria).

total energy = -4.69 eV/atom
ΔE_f = 0.021 eV per atom

Structure (extended XYZ):
```
18
Lattice="-5.9131 -0.6860 14.1908 -0.4667 -7.6191 7.7745 4.4534 1.7047 1.9374" Properties=species:S:1:pos:R:3 pbc="T T T"
Pr 0.0000 0.0000 0.0001
Nd -2.6995 0.2795 12.7923
Nd 0.7730 -6.8801 11.1106
Nd -4.3923 -8.0742 17.1955
Nd 2.4658 1.4737 6.7075
Nd -2.2808 -5.2931 9.8971
Nd 4.1317 -3.3640 7.1351
Nd -6.0581 -3.2365 16.7678
Nd 0.3543 -1.3074 14.0058
Nd -0.8738 -2.0231 10.6224
Nd -2.9965 -4.8014 17.9441
Nd 1.0701 -1.7991 5.9589
Nd -1.0526 -4.5774 13.2805
Er -0.7299 0.5093 8.0642
Er 0.9223 -4.3203 8.5160
Er -2.8488 -2.2802 15.3869
Er -4.2530 -5.5370 14.6433
Er 2.3265 -1.0636 9.2596
```

- Which value of total energy does entry 1 give?
  -5.18 eV/atom